1.
6
Lattice="0.000 3.720 3.720 3.720 0.000 3.720 3.720 3.720 0.000" Properties=species:S:1:pos:R:3 comment="YCrTc4 PBE relaxed" final_energy_ev_per_cell=-56.39 total_magnetization_mub_per_fu=2.9 formation_energy_ev_per_atom=0.194 spacegroup="F-43m, No. 216" pbc="T T T"
Y 0.000 0.000 0.000
Cr 1.860 1.860 1.860
Tc 4.647 2.794 2.794
Tc 2.794 4.647 2.794
Tc 2.794 2.794 4.647
Tc 4.647 4.647 4.647

***

2.
8
Lattice="-3.847 3.847 3.103 3.847 -3.847 3.103 3.847 3.847 -3.103" Properties=species:S:1:pos:R:3 comment="Y2CrTc PBE relaxed" final_energy_ev_per_cell=-60.12 total_magnetization_mub_per_fu=4.6 e_above_lowest_polymorph_ev_per_fu=2.26 formation_energy_ev_per_atom=0.714 spacegroup="I-42d, No. 122" pbc="T T T"
Y 1.924 1.792 -0.776
Y 2.055 -1.924 3.879
Y 1.924 2.055 2.327
Y 1.792 5.771 0.776
Cr 3.847 0.000 1.551
Cr 0.000 0.000 3.103
Tc 0.000 0.000 0.000
Tc 0.000 3.847 1.551

***

3.
5
Lattice="4.690 0.000 0.000 0.000 4.690 0.000 0.000 0.000 4.690" Properties=species:S:1:pos:R:3 comment="YCrTc3 PBE relaxed" final_energy_ev_per_cell=-33.33 total_magnetization_mub_per_fu=0.3 e_above_lowest_polymorph_ev_per_fu=10.88 formation_energy_ev_per_atom=2.772 spacegroup="Pm-3m, No. 221" pbc="T T T"
Y 0.000 0.000 0.000
Cr 2.345 2.345 2.345
Tc 0.000 0.000 2.345
Tc 0.000 2.345 0.000
Tc 2.345 0.000 0.000

***

4.
5
Lattice="4.516 0.000 0.000 0.000 4.516 0.000 0.000 0.000 4.516" Properties=species:S:1:pos:R:3 comment="YCrTc3 PBE relaxed" final_energy_ev_per_cell=-44.21 total_magnetization_mub_per_fu=0.0 e_above_lowest_polymorph_ev_per_fu=0.00 formation_energy_ev_per_atom=0.596 spacegroup="Pm-3m, No. 221" pbc="T T T"
Y 0.000 0.000 0.000
Cr 2.258 2.258 2.258
Tc 0.000 2.258 2.258
Tc 2.258 0.000 2.258
Tc 2.258 2.258 0.000

***

Repeat the first record exactly.
6
Lattice="0.000 3.720 3.720 3.720 0.000 3.720 3.720 3.720 0.000" Properties=species:S:1:pos:R:3 comment="YCrTc4 PBE relaxed" final_energy_ev_per_cell=-56.39 total_magnetization_mub_per_fu=2.9 formation_energy_ev_per_atom=0.194 spacegroup="F-43m, No. 216" pbc="T T T"
Y 0.000 0.000 0.000
Cr 1.860 1.860 1.860
Tc 4.647 2.794 2.794
Tc 2.794 4.647 2.794
Tc 2.794 2.794 4.647
Tc 4.647 4.647 4.647